An optimized crystal structure of AlAgIr. Source: Alexandria via LeMat-Bulk, functional GGA-PBE.

```
AlAgIr
1.0
-3.688 0.928 -3.930
-5.407 0.823 0.011
4.870 1.241 2.157
Ir Al Ag
1 1 1
Direct
0.690 0.690 0.000 Ir
0.317 0.317 0.000 Al
0.994 0.994 0.000 Ag
```

space-group type = I4mm (107)
formation energy = -0.9 eV/f.u.



An optimized crystal structure of CaSe2SN. Source: Alexandria via LeMat-Bulk, functional GGA-PBE.

```
CaSe2SN
1.0
5.482 0.000 0.000
0.000 5.482 0.000
0.000 0.000 4.211
Ca S Se N
1 1 2 1
Direct
0.000 0.000 0.000 Ca
0.500 0.500 0.500 S
0.000 0.500 0.000 Se
0.500 0.000 0.000 Se
0.000 0.000 0.500 N
```

space-group type = P4/mmm (123)
E_form (uncorrected) = 1.208 eV/atom



no.,calculated total energy (eV/atom),spin magnetization (Bohr magnetons per cell)
1,-5.435,0.00
2,-3.077,0.06